DFT (PBE-GGA) results for an optimized crystal structure of DyEr2Mg3Ir2Pd.

Calculated values
The electronic total energy is -5.294 eV/atom.

Cell lengths 4.0032, 7.3221, 7.3221 Å; angles 120.08, 90.00, 90.00 degrees
With the nearest neighbours (Å) after each atom.
Element x y z (fractional)
Dy 0.0000 0.4164 0.4164  4 Ir 2.98, 1 Pd 3.05, 6 Mg 3.16-3.33
Er 0.0000 0.5843 0.0000  4 Ir 2.97, 1 Pd 3.04, 6 Mg 3.16-3.32
Er 0.0000 0.0000 0.5843  4 Ir 2.97, 1 Pd 3.04, 6 Mg 3.16-3.32
Ir 0.5000 0.6679 0.3328  3 Mg 2.78-2.81, 4 Er 2.97, 2 Dy 2.98
Ir 0.5000 0.3328 0.6679  3 Mg 2.78-2.81, 4 Er 2.97, 2 Dy 2.98
Mg 0.5000 0.9993 0.2492  2 Pd 2.71, 2 Ir 2.78-2.80
Mg 0.5000 0.7512 0.7512  2 Pd 2.70, 2 Ir 2.81
Mg 0.5000 0.2492 0.9993  2 Pd 2.71, 2 Ir 2.78-2.80
Pd 0.0000 0.9989 0.9989  6 Mg 2.70-2.71

---

DFT (PBE-GGA) results for an optimized crystal structure of HoZnGaNi.

Calculated values
The electronic total energy is -4.149 eV/atom.

Cell lengths 6.9642, 5.2054, 5.2054 Å; angles 46.34, 90.00, 90.00 degrees
With the nearest neighbours (Å) after each atom.
Element x y z (fractional)
Ga 0.1959 0.6464 0.6464  3 Ni 2.48-2.54, 1 Ga 2.73
Ga 0.8041 0.6464 0.6464  3 Ni 2.48-2.54, 1 Ga 2.73
Ho 0.5000 0.0694 0.0694  3 Ni 2.76-2.88, 4 Ga 3.04, 2 Zn 3.06
Ho 0.0000 0.9314 0.9314  3 Ni 2.69-2.93
Ni 0.0000 0.2128 0.2128  4 Ga 2.54, 2 Zn 2.54, 1 Ho 2.69
Ni 0.5000 0.7805 0.7805  2 Ga 2.48, 4 Zn 2.56, 1 Ho 2.76
Zn 0.3069 0.3566 0.3566  3 Ni 2.54-2.56, 1 Zn 2.69
Zn 0.6931 0.3566 0.3566  3 Ni 2.54-2.56, 1 Zn 2.69

---

Number 1: V 185.72 Å³/cell. Number 2: V 136.52 Å³/cell.